1.
PaNiPbSe4 PBE-GGA optimized geometry; total moment = 0.00 μB/atom; crystal system = monoclinic; raw formation energy = -0.818 eV/atom; electronic total energy = -5.522 eV/atom
1.0
6.815 0.000 0.000
0.000 5.905 0.000
-2.426 0.000 8.325
Pa Ni Pb Se
2 2 2 8
Direct
0.237 0.250 0.445
0.763 0.750 0.555
0.250 0.750 0.648
0.750 0.250 0.352
0.224 0.250 0.958
0.776 0.750 0.042
0.064 0.750 0.385
0.076 0.750 0.858
0.484 0.507 0.278
0.484 0.993 0.278
0.516 0.007 0.722
0.516 0.493 0.722
0.924 0.250 0.142
0.936 0.250 0.615

2.
TmTh4In5 PBE-GGA optimized geometry; formation enthalpy at 0 K = -0.3121 eV per atom; total moment = 0.01 μB/atom; crystal system = tetragonal; electronic total energy = -5.096 eV/atom
1.0
3.518 0.000 0.000
0.000 3.518 0.000
0.000 0.000 22.650
Tm Th In
1 4 5
Direct
0.000 0.000 0.000
0.000 0.000 0.193
0.000 0.000 0.397
0.000 0.000 0.603
0.000 0.000 0.807
0.500 0.500 0.092
0.500 0.500 0.295
0.500 0.500 0.500
0.500 0.500 0.705
0.500 0.500 0.908

3.
Dy2ThO PBE-GGA optimized geometry; total moment = 0.00 μB/atom; crystal system = trigonal; raw formation energy = -1.367 eV/atom; electronic total energy = -6.763 eV/atom
1.0
3.500 0.000 0.000
-1.750 3.031 0.000
0.000 0.000 26.257
Dy Th O
6 3 3
Direct
0.000 0.000 0.220
0.000 0.000 0.780
0.333 0.667 0.447
0.333 0.667 0.886
0.667 0.333 0.114
0.667 0.333 0.553
0.000 0.000 0.000
0.333 0.667 0.667
0.667 0.333 0.333
0.000 0.000 0.500
0.333 0.667 0.167
0.667 0.333 0.833

4.
PrPb2IO4 PBE-GGA optimized geometry; total moment = 0.00 μB/atom; crystal system = tetragonal; raw formation energy = -1.560 eV/atom; electronic total energy = -5.757 eV/atom
1.0
4.087 0.000 0.000
0.000 4.087 0.000
0.000 0.000 9.653
Pr Pb I O
1 2 1 4
Direct
0.000 0.000 0.000
0.500 0.500 0.258
0.500 0.500 0.742
0.000 0.000 0.500
0.000 0.500 0.148
0.000 0.500 0.852
0.500 0.000 0.148
0.500 0.000 0.852

5.
TmHfIrRu PBE-GGA optimized geometry; formation enthalpy at 0 K = -0.8110 eV per atom; total moment = 0.00 μB/atom; crystal system = cubic; electronic total energy = -8.951 eV/atom
1.0
6.615 0.000 0.000
0.000 6.615 0.000
0.000 0.000 6.615
Tm Hf Ir Ru
4 4 4 4
Direct
0.000 0.000 0.000
0.000 0.500 0.500
0.500 0.000 0.500
0.500 0.500 0.000
0.000 0.000 0.500
0.000 0.500 0.000
0.500 0.000 0.000
0.500 0.500 0.500
0.250 0.250 0.250
0.250 0.750 0.750
0.750 0.250 0.750
0.750 0.750 0.250
0.250 0.250 0.750
0.250 0.750 0.250
0.750 0.250 0.250
0.750 0.750 0.750

6.
Tl4SeF2 PBE-GGA optimized geometry; total moment = 0.00 μB/atom; crystal system = tetragonal; raw formation energy = -0.831 eV/atom; electronic total energy = -3.216 eV/atom
1.0
5.748 0.000 0.000
0.000 5.748 0.000
0.000 0.000 15.226
Tl Se F
8 2 4
Direct
0.000 0.000 0.246
0.000 0.000 0.754
0.000 0.500 0.000
0.000 0.500 0.500
0.500 0.000 0.000
0.500 0.000 0.500
0.500 0.500 0.254
0.500 0.500 0.746
0.000 0.000 0.500
0.500 0.500 0.000
0.000 0.000 0.097
0.000 0.000 0.903
0.500 0.500 0.403
0.500 0.500 0.597

7.
CoH3Pd2 PBE-GGA optimized geometry; total moment = 0.17 μB/atom; crystal system = monoclinic; electronic total energy = -4.557 eV/atom
1.0
4.596 -1.950 0.000
4.596 1.950 0.000
-1.746 0.000 5.410
Co H Pd
2 6 4
Direct
0.003 0.997 0.750
0.997 0.003 0.250
0.125 0.129 0.063
0.129 0.125 0.563
0.455 0.545 0.750
0.545 0.455 0.250
0.871 0.875 0.437
0.875 0.871 0.937
0.337 0.339 0.419
0.339 0.337 0.919
0.661 0.663 0.081
0.663 0.661 0.581

8.
AcHoSb2Rh5 PBE-GGA optimized geometry; total moment = 0.00 μB/atom; crystal system = tetragonal; raw formation energy = -0.486 eV/atom; electronic total energy = -6.452 eV/atom
1.0
4.540 0.000 0.000
0.000 4.540 0.000
0.000 0.000 9.024
Ac Ho Sb Rh
1 1 2 5
Direct
0.000 0.000 0.000
0.000 0.000 0.500
0.500 0.500 0.344
0.500 0.500 0.656
0.000 0.500 0.228
0.000 0.500 0.772
0.500 0.000 0.228
0.500 0.000 0.772
0.500 0.500 0.000

9.
Ca3LaTb3Te8 PBE-GGA optimized geometry; total moment = 0.00 μB/atom; crystal system = trigonal; raw formation energy = -1.506 eV/atom; electronic total energy = -4.837 eV/atom
1.0
4.416 2.550 7.334
-4.416 2.550 7.334
0.000 -5.100 7.334
Ca La Tb Te
3 1 3 8
Direct
0.000 0.500 0.500
0.500 0.000 0.500
0.500 0.500 0.000
0.500 0.500 0.500
0.000 0.000 0.500
0.000 0.500 0.000
0.500 0.000 0.000
0.237 0.758 0.758
0.242 0.242 0.763
0.242 0.763 0.242
0.248 0.248 0.248
0.752 0.752 0.752
0.758 0.237 0.758
0.758 0.758 0.237
0.763 0.242 0.242

10.
MnTcSe2 PBE-GGA optimized geometry; total moment = 0.00 μB/atom; crystal system = tetragonal; raw formation energy = 0.214 eV/atom; electronic total energy = -6.412 eV/atom
1.0
5.466 0.000 0.000
0.000 5.466 0.000
0.000 0.000 10.670
Mn Tc Se
4 4 8
Direct
0.000 0.000 0.000
0.000 0.500 0.250
0.500 0.000 0.750
0.500 0.500 0.500
0.000 0.000 0.500
0.000 0.500 0.750
0.500 0.000 0.250
0.500 0.500 0.000
0.231 0.250 0.125
0.250 0.731 0.375
0.250 0.769 0.875
0.269 0.250 0.625
0.731 0.750 0.625
0.750 0.231 0.875
0.750 0.269 0.375
0.769 0.750 0.125

11.
Si2AsPd8 PBE-GGA optimized geometry; total moment = 0.00 μB/atom; crystal system = monoclinic; raw formation energy = -0.533 eV/atom; electronic total energy = -5.718 eV/atom
1.0
7.392 -2.037 0.000
7.392 2.037 0.000
-1.772 0.000 5.514
Si As Pd
2 1 8
Direct
0.182 0.182 0.199
0.818 0.818 0.801
0.500 0.500 0.500
0.032 0.032 0.277
0.205 0.205 0.816
0.329 0.329 0.530
0.406 0.406 0.041
0.594 0.594 0.959
0.671 0.671 0.470
0.795 0.795 0.184
0.968 0.968 0.723

12.
LiCa2GaPd6 PBE-GGA optimized geometry; formation enthalpy at 0 K = -0.5425 eV per atom; total moment = 0.00 μB/atom; crystal system = triclinic; electronic total energy = -4.553 eV/atom
1.0
5.563 0.000 0.000
-1.801 5.835 0.000
-2.599 -1.325 5.635
Li Ca Ga Pd
1 2 1 6
Direct
0.000 0.000 0.000
0.236 0.733 0.770
0.764 0.267 0.230
0.500 0.500 0.500
0.234 0.194 0.652
0.252 0.422 0.061
0.263 0.813 0.337
0.737 0.187 0.663
0.748 0.578 0.939
0.766 0.806 0.348